No. 1
Entry from Alexandria via LeMat-Bulk: a relaxed structure of CsTbHgSe3 (PBE).

Cell lengths 4.3229, 9.5001, 10.6664 Å; angles 110.81, 90.00, 90.00 degrees
With the nearest neighbours (Å) after each atom.
Positions (direct):
Se  0.2500  0.7741  0.4460  3 Hg 2.74-2.89
Cs  0.7500  0.7753  0.7506  7 Se 3.64-3.90
Hg  0.2500  0.0879  0.6179  4 Se 2.63-2.89
Se  0.7500  0.2259  0.5540  3 Hg 2.74-2.89
Tb  0.7500  0.3298  0.8660  6 Se 2.82-3.12
Se  0.2500  0.5262  0.8526  3 Tb 2.82-2.89
Hg  0.7500  0.9121  0.3821  4 Se 2.63-2.89
Se  0.7500  0.4738  0.1474  3 Tb 2.82-2.89
Cs  0.2500  0.2247  0.2494  7 Se 3.64-3.90
Tb  0.2500  0.6702  0.1340  6 Se 2.82-3.12
Se  0.2500  0.1199  0.8730  1 Hg 2.63
Se  0.7500  0.8801  0.1270  1 Hg 2.63

As for the symmetry: P2_1/m, No. 11.

No. 2
Entry from Alexandria via LeMat-Bulk: a relaxed structure of CsHg2Te2Se6 (PBE).

Cell lengths 7.2120, 13.0340, 7.3871 Å; angles 139.25, 104.52, 66.49 degrees
With the nearest neighbours (Å) after each atom.
Positions (direct):
Cs  0.5000  0.0000  0.5000  6 Se 3.67-4.04
Te  0.8099  0.4200  0.9400  3 Se 2.54-2.80
Hg  0.0059  0.7632  0.7792  2 Se 2.53-2.55
Se  0.4221  0.5796  0.8512  1 Te 2.54
Se  0.8579  0.6588  0.8751  1 Hg 2.55, 1 Te 2.68
Se  0.9168  0.1338  0.3680  1 Hg 2.53, 1 Te 2.80
Se  0.0832  0.8662  0.6320  1 Hg 2.53, 1 Te 2.80
Se  0.1421  0.3412  0.1249  1 Hg 2.55, 1 Te 2.68
Te  0.1901  0.5800  0.0600  3 Se 2.54-2.80
Hg  0.9941  0.2368  0.2208  2 Se 2.53-2.55
Se  0.5779  0.4204  0.1488  1 Te 2.54

For the density of states at the Fermi level, the calculation gives 0.25 states/eV/atom. As for the symmetry: P-1, No. 2.

No. 3
Entry from Alexandria via LeMat-Bulk: a relaxed structure of CsHgTe2Se (PBE).

Cell lengths 5.6148, 6.8382, 5.6148 Å; angles 90.00, 90.00, 90.00 degrees
With the nearest neighbours (Å) after each atom.
Positions (direct):
Te  0.0000  0.0000  0.5000  2 Se 2.81
Se  0.0000  0.0000  0.0000  4 Te 2.81
Cs  0.0000  0.5000  0.0000  2 Se 3.42
Hg  0.5000  0.5000  0.5000  4 Cs 3.97, 8 Te 4.42
Te  0.5000  0.0000  0.0000  2 Se 2.81

For the density of states at the Fermi level, the calculation gives 0.94 states/eV/atom. As for the symmetry: P4/mmm, No. 123.

No. 4
Entry from Alexandria via LeMat-Bulk: a relaxed structure of CsHgTeSe3 (PBE).

Cell lengths 4.1741, 9.9704, 10.9690 Å; angles 101.12, 90.00, 90.00 degrees
With the nearest neighbours (Å) after each atom.
Positions (direct):
Se  0.7500  0.1844  0.4884  3 Hg 2.70-2.83
Cs  0.2500  0.1696  0.2187  7 Se 3.60-3.89
Te  0.2500  0.6394  0.1442  4 Se 2.76-2.90
Te  0.7500  0.3606  0.8558  4 Se 2.76-2.90
Se  0.2500  0.5413  0.8523  2 Te 2.76
Se  0.2500  0.1606  0.8624  1 Hg 2.72, 2 Te 2.90
Hg  0.2500  0.1000  0.6100  4 Se 2.70-2.83
Cs  0.7500  0.8304  0.7813  7 Se 3.60-3.89
Hg  0.7500  0.9000  0.3900  4 Se 2.70-2.83
Se  0.2500  0.8156  0.5116  3 Hg 2.70-2.83
Se  0.7500  0.4587  0.1477  2 Te 2.76
Se  0.7500  0.8394  0.1376  1 Hg 2.72, 2 Te 2.90

For the density of states at the Fermi level, the calculation gives 0.20 states/eV/atom. As for the symmetry: P2_1/m, No. 11.

Calculated density list, top to bottom, in g/cm3: 5.92 5.07 5.14 5.18
E_form (uncorrected) list, top to bottom, in eV per atom: -1.218 -0.201 -0.166 -0.378